[1]
The following is a DFT calculation (PBE-GGA) of a geometry-optimized NaBP2S structure.

```
5
Lattice="-3.883 -1.031 0.211 0.879 -3.622 -1.517 0.734 -1.799 4.720" Properties=species:S:1:pos:R:3 pbc="T T T"
P 0.440 -1.811 -0.758
P -1.942 -0.516 0.105
S 0.367 -0.899 2.360
B 0.000 0.000 0.000
Na -1.135 -3.226 1.707
```

## Properties
E_tot, eV per cell: -20.3
Raw formation energy, eV per atom: 0.537
Relative energy among the computed polymorphs, meV/atom: 0

[2]
The following is a DFT calculation (PBE-GGA) of a geometry-optimized NaBPb2 structure.

```
8
Lattice="-8.003 -0.721 1.818 0.734 -8.206 -0.021 -3.000 -4.414 3.710" Properties=species:S:1:pos:R:3 pbc="T T T"
Pb -4.876 -2.509 1.883
Pb -2.076 -6.393 1.320
Pb -4.904 -7.462 3.454
Pb -8.683 -10.317 4.357
Na 0.000 0.000 0.000
Na -7.319 -4.799 3.213
B -3.635 -4.463 0.898
B -2.950 -8.542 2.294
```

## Properties
E_tot, eV per cell: -26.7
Formation energy, eV per formula unit: 2.08